[1]
A relaxed NaRe2Ag crystal, computed with PBE.

Lattice parameters (Å, degrees): 10.933 10.933 10.933 160.72 160.72 27.39
Positions (direct):
Na (0.000, 0.000, 0.000)
Na (0.750, 0.250, 0.500)
Re (0.105, 0.625, 0.980)
Re (0.375, 0.355, 0.480)
Re (0.645, 0.125, 0.020)
Re (0.875, 0.895, 0.520)
Ag (0.250, 0.750, 0.500)
Ag (0.500, 0.500, 0.000)

Values from the calculation:
Energy of formation from the pure elements ... 1.04 eV per atom
Excess energy over the best structure of this formula in the dataset ... 0.00 eV/f.u.

***

[2]
A relaxed Na2ReAgS4 crystal, computed with PBE.

Lattice parameters (Å, degrees): 6.276 6.276 6.276 109.93 109.93 108.56
Positions (direct):
Na (0.000, 0.000, 0.000)
Na (0.750, 0.250, 0.500)
Re (0.250, 0.750, 0.500)
Ag (0.500, 0.500, 0.000)
S (0.256, 0.729, 0.142)
S (0.271, 0.413, 0.527)
S (0.587, 0.114, 0.858)
S (0.886, 0.744, 0.473)

***

[3]
A relaxed NaRe2SiAg crystal, computed with PBE.

Lattice parameters (Å, degrees): 5.086 5.086 4.592 90.00 90.00 90.00
Positions (direct):
Na (0.000, 0.000, 0.000)
Re (0.000, 0.500, 0.500)
Re (0.500, 0.000, 0.500)
Si (0.500, 0.500, 0.000)
Ag (0.500, 0.500, 0.500)

***

[4]
A relaxed NaTlRe2Ag crystal, computed with PBE.

Lattice parameters (Å, degrees): 5.216 5.216 5.309 90.00 90.00 90.00
Positions (direct):
Na (0.000, 0.000, 0.000)
Tl (0.500, 0.500, 0.500)
Re (0.000, 0.500, 0.500)
Re (0.500, 0.000, 0.500)
Ag (0.500, 0.500, 0.000)

Values from the calculation:
Energy of formation from the pure elements ... 2.29 eV per atom

***

[5]
A relaxed NaAg2Rh2 crystal, computed with PBE.

Lattice parameters (Å, degrees): 7.546 7.546 7.546 151.84 151.84 40.24
Positions (direct):
Na (0.000, 0.000, 0.000)
Ag (0.401, 0.401, 0.000)
Ag (0.599, 0.599, 0.000)
Rh (0.250, 0.750, 0.500)
Rh (0.750, 0.250, 0.500)

Values from the calculation:
Energy of formation from the pure elements ... 0.39 eV per atom
Excess energy over the best structure of this formula in the dataset ... 0.59 eV/f.u.

***

[6]
A relaxed Na2AgRh2 crystal, computed with PBE.

Lattice parameters (Å, degrees): 7.473 7.473 7.473 151.37 151.37 40.94
Positions (direct):
Na (0.250, 0.750, 0.500)
Na (0.750, 0.250, 0.500)
Ag (0.000, 0.000, 0.000)
Rh (0.412, 0.412, 0.000)
Rh (0.588, 0.588, 0.000)

Values from the calculation:
Energy of formation from the pure elements ... 0.76 eV per atom
Excess energy over the best structure of this formula in the dataset ... 1.22 eV/f.u.

***

[7]
A relaxed NaAg2Rh2 crystal, computed with PBE.

Lattice parameters (Å, degrees): 8.167 8.167 2.730 90.00 90.00 90.00
Positions (direct):
Na (0.000, 0.000, 0.000)
Na (0.500, 0.500, 0.000)
Ag (0.183, 0.317, 0.500)
Ag (0.317, 0.817, 0.500)
Ag (0.683, 0.183, 0.500)
Ag (0.817, 0.683, 0.500)
Rh (0.112, 0.612, 0.000)
Rh (0.388, 0.112, 0.000)
Rh (0.612, 0.888, 0.000)
Rh (0.888, 0.388, 0.000)

Values from the calculation:
Energy of formation from the pure elements ... 0.27 eV per atom
Excess energy over the best structure of this formula in the dataset ... 0.00 eV/f.u.

***

[8]
A relaxed Na2AgRh2 crystal, computed with PBE.

Lattice parameters (Å, degrees): 8.439 8.439 2.717 90.00 90.00 90.00
Positions (direct):
Na (0.189, 0.311, 0.000)
Na (0.311, 0.811, 0.000)
Na (0.689, 0.189, 0.000)
Na (0.811, 0.689, 0.000)
Ag (0.000, 0.000, 0.500)
Ag (0.500, 0.500, 0.500)
Rh (0.103, 0.603, 0.500)
Rh (0.397, 0.103, 0.500)
Rh (0.603, 0.897, 0.500)
Rh (0.897, 0.397, 0.500)

Values from the calculation:
Energy of formation from the pure elements ... 0.51 eV per atom
Excess energy over the best structure of this formula in the dataset ... 0.00 eV/f.u.

***

[9]
A relaxed NaAg2Rh2 crystal, computed with PBE.

Lattice parameters (Å, degrees): 8.209 8.209 2.712 90.00 90.00 90.00
Positions (direct):
Na (0.000, 0.000, 0.000)
Na (0.500, 0.500, 0.000)
Ag (0.181, 0.319, 0.000)
Ag (0.319, 0.819, 0.000)
Ag (0.681, 0.181, 0.000)
Ag (0.819, 0.681, 0.000)
Rh (0.113, 0.613, 0.500)
Rh (0.387, 0.113, 0.500)
Rh (0.613, 0.887, 0.500)
Rh (0.887, 0.387, 0.500)

Values from the calculation:
Energy of formation from the pure elements ... 0.29 eV per atom
Excess energy over the best structure of this formula in the dataset ... 0.08 eV/f.u.

***

[10]
A relaxed NaAgSbRh crystal, computed with PBE.

Lattice parameters (Å, degrees): 4.171 4.171 10.070 90.00 90.00 90.00
Positions (direct):
Na (0.250, 0.250, 0.233)
Na (0.750, 0.750, 0.767)
Ag (0.250, 0.750, 0.000)
Ag (0.750, 0.250, 0.000)
Sb (0.250, 0.250, 0.657)
Sb (0.750, 0.750, 0.343)
Rh (0.250, 0.750, 0.500)
Rh (0.750, 0.250, 0.500)

***

[11]
A relaxed NaSr2AgRh crystal, computed with PBE.

Lattice parameters (Å, degrees): 5.696 5.696 5.320 90.00 90.00 90.00
Positions (direct):
Na (0.000, 0.000, 0.000)
Sr (0.000, 0.500, 0.500)
Sr (0.500, 0.000, 0.500)
Ag (0.500, 0.500, 0.000)
Rh (0.500, 0.500, 0.500)

Values from the calculation:
Energy of formation from the pure elements ... -0.01 eV per atom

***

[12]
A relaxed NaTcAg2Rh crystal, computed with PBE.

Lattice parameters (Å, degrees): 4.637 4.637 4.711 90.00 90.00 90.00
Positions (direct):
Na (0.000, 0.000, 0.000)
Tc (0.500, 0.500, 0.500)
Ag (0.000, 0.500, 0.000)
Ag (0.500, 0.000, 0.000)
Rh (0.000, 0.000, 0.500)

Values from the calculation:
Energy of formation from the pure elements ... 1.56 eV per atom

***

What calculated total energy values result from the calculations? In sequence: -24.92, -38.33, -22.96, -19.99, -19.76, -16.41, -20.35, -17.63, -20.27, -16.56, -14.92, -16.95 eV per formula unit.
What magnetic moment values result from the calculations? In sequence: 0.00, 0.08, 1.15, 1.20, 0.29, 0.30, 0.14, 0.19, 0.15, 0.00, 0.00, 0.92 μB per atom.